[1]
# Cs2CeMo3O12 (GGA+U, optimized geometry)
# ρ, g/cm3: 4.738
# Calculated total energy, eV for the cell shown: -371.7
# V, Å³ per atom: 17.25
data_Cs2CeMo3O12
_chemical_formula_sum 'Cs6 Ce3 Mo9 O36'
_symmetry_space_group_name_H-M 'R -3 m'
_symmetry_Int_Tables_number 166
_symmetry_space_group_name_Hall '-R 3 2"'
_cell_length_a 7.4726
_cell_length_b 7.4726
_cell_length_c 19.2576
_cell_angle_alpha 90.00
_cell_angle_beta 90.00
_cell_angle_gamma 120.00
loop_
_atom_site_label
_atom_site_type_symbol
_atom_site_fract_x
_atom_site_fract_y
_atom_site_fract_z
Cs1 Cs 0.0000 0.0000 0.1212
Ce1 Ce 0.0000 0.0000 0.5000
Mo1 Mo 0.0000 0.5000 0.0000
O1 O 0.0540 0.5270 0.0975
O2 O 0.0892 0.5446 0.3465

---

[2]
# Cs2CeMoO6 (GGA+U, optimized geometry)
# ρ, g/cm3: 4.261
# Calculated total energy, eV for the cell shown: -65.5
# V, Å³ per atom: 23.30
data_Cs2CeMoO6
_chemical_formula_sum 'Cs2 Ce1 Mo1 O6'
_symmetry_space_group_name_H-M 'P -3 m 1'
_symmetry_Int_Tables_number 164
_symmetry_space_group_name_Hall '-P 3 2"'
_cell_length_a 6.7526
_cell_length_b 6.7526
_cell_length_c 5.9004
_cell_angle_alpha 90.00
_cell_angle_beta 90.00
_cell_angle_gamma 120.00
loop_
_atom_site_label
_atom_site_type_symbol
_atom_site_fract_x
_atom_site_fract_y
_atom_site_fract_z
Cs1 Cs 0.3333 0.6667 0.1296
Ce1 Ce 0.0000 0.0000 0.5000
Mo1 Mo 0.0000 0.0000 0.0000
O1 O 0.1295 0.2589 0.7886

---

Magnetic moment readings, ordered: 0.00, 0.00 μB/f.u.